VASP calculation (GGA+U) on a relaxed structure of AlFe2OF.

Lattice parameters (Å, degrees): 3.8967 3.8967 4.8770 90.00 90.00 90.00
With the nearest neighbours (Å) after each atom.
Element x y z (fractional)
1 Al 0.0000 0.0000 0.0000  4 O 2.76
2 Fe 0.0000 0.5000 0.5000  2 F 1.95
3 Fe 0.5000 0.0000 0.5000  2 F 1.95
4 O 0.5000 0.5000 0.0000  2 F 2.44
5 F 0.5000 0.5000 0.5000  4 Fe 1.95

Calculated values
Its calculated volume is 74.1 Å³ per cell. Its calculated density is 3.89 g cm⁻³. As for the spin magnetization: 6.7 μB per cell. The total DFT energy (no corrections) comes out at -4.32 eV/atom.